Version 1
The following is a DFT calculation (PBE-GGA) of a relaxed structure of LiYO.

a b c (Å): 3.3451 3.3451 4.2119
angles (deg): 90.00 90.00 90.00
Last column: nearest neighbours and their distance in Å.
Sites, in units of the cell vectors:
Li: 0.5000 0.5000 0.5000  2 O 2.11
Y: 0.0000 0.0000 0.0000  4 O 2.37
O: 0.5000 0.5000 0.0000  2 Li 2.11

Version 2
The following is a DFT calculation (PBE-GGA) of a relaxed structure of LiYO.

a b c (Å): 4.8291 3.4997 5.9898
angles (deg): 90.00 109.02 90.00
Last column: nearest neighbours and their distance in Å.
Sites, in units of the cell vectors:
Li: 0.3700 0.5000 0.6511  2 O 2.10
Li: 0.1547 0.0000 0.3231  1 O 1.86
Y: 0.5709 0.5000 0.1565  4 O 2.27-2.44
Y: 0.8991 0.0000 0.7484  2 O 2.22-2.47
O: 0.4459 0.0000 0.8555  2 Li 2.10
O: 0.5605 0.0000 0.3945  1 Li 1.86

The structure shown above that is least stable: version 2.